VASP calculation (GGA-PBE) on a relaxed structure of Pm2SbBr.

Cell: 8.0944 8.0944 8.0944 Å, 30.88 30.88 30.88°
Element x y z (fractional)
Pm (0.0000, 0.0000, 0.0000)
Pm (0.1819, 0.1819, 0.1819)
Sb (0.5920, 0.5920, 0.5920)
Br (0.4227, 0.4227, 0.4227)

Results
Formation energy from raw total energies   -1.127 eV per atom
N(E_F)   1.8 states/eV per cell